# 1
Density functional theory data (meta-GGA SCAN) for a crystal of CuAu3 relaxed with PBEsol.

The total moment comes out at 0.00 μB/f.u. For the formation energy from the elements, the calculation gives -17 kJ/mol of formula units. Its crystal system is cubic.

abc: 3.9729 3.9729 3.9729
angles: 90.00 90.00 90.00
Fractional coordinates of all 4 atoms:
Cu  0.0000  0.0000  0.0000
Au  0.0000  0.5000  0.5000
Au  0.5000  0.0000  0.5000
Au  0.5000  0.5000  0.0000

# 2
Density functional theory data (meta-GGA SCAN) for a crystal of Cu3Au4 relaxed with PBEsol.

The total moment comes out at 0.00 μB/f.u. For the formation energy from the elements, the calculation gives -33 kJ/mol of formula units. Its crystal system is tetragonal.

abc: 12.3198 12.3198 12.3198
angles: 166.49 166.49 19.15
Fractional coordinates of all 7 atoms:
Cu  0.0000  0.0000  0.0000
Cu  0.2777  0.2777  0.0000
Cu  0.7223  0.7223  0.0000
Au  0.1539  0.1539  0.0000
Au  0.4309  0.4309  0.0000
Au  0.5691  0.5691  0.0000
Au  0.8461  0.8461  0.0000

# 3
Density functional theory data (meta-GGA SCAN) for a crystal of CuAu3 relaxed with PBEsol.

The total moment comes out at 0.00 μB/f.u. For the formation energy from the elements, the calculation gives -20 kJ/mol of formula units. Its crystal system is tetragonal.

abc: 2.8308 2.8308 7.7857
angles: 90.00 90.00 90.00
Fractional coordinates of all 4 atoms:
Cu  0.0000  0.0000  0.0000
Au  0.0000  0.0000  0.5000
Au  0.5000  0.5000  0.2269
Au  0.5000  0.5000  0.7731

# 4
Density functional theory data (meta-GGA SCAN) for a crystal of CuAu2 relaxed with PBEsol.

The total moment comes out at 0.00 μB/f.u. For the formation energy from the elements, the calculation gives -2 kJ/mol of formula units. The value obtained for the energy relative to the lowest polymorph listed for this composition is 0.062 eV per atom. Its crystal system is trigonal.

abc: 4.3665 4.3665 2.7851
angles: 90.00 90.00 120.00
Fractional coordinates of all 3 atoms:
Cu  0.0000  0.0000  0.0000
Au  0.3333  0.6667  0.7164
Au  0.6667  0.3333  0.2836

# 5
Density functional theory data (meta-GGA SCAN) for a crystal of CuAu3 relaxed with PBEsol.

The total moment comes out at 0.00 μB/f.u. For the formation energy from the elements, the calculation gives 12 kJ/mol of formula units. Its crystal system is trigonal.

abc: 5.2189 5.2189 5.2189
angles: 116.92 116.92 116.92
Fractional coordinates of all 4 atoms:
Cu  0.0000  0.0000  0.0000
Au  0.0000  0.5000  0.5000
Au  0.5000  0.0000  0.5000
Au  0.5000  0.5000  0.0000

# 6
Density functional theory data (meta-GGA SCAN) for a crystal of Cu7Au6 relaxed with PBEsol.

The total moment comes out at 0.00 μB/f.u. For the formation energy from the elements, the calculation gives -16 kJ/mol of formula units. Its crystal system is trigonal.

abc: 9.1630 9.1630 9.1630
angles: 31.04 31.04 31.04
Fractional coordinates of all 13 atoms:
Cu  0.0000  0.0000  0.0000
Cu  0.0899  0.0899  0.5885
Cu  0.0899  0.5885  0.0899
Cu  0.4115  0.9101  0.9101
Cu  0.5885  0.0899  0.0899
Cu  0.9101  0.4115  0.9101
Cu  0.9101  0.9101  0.4115
Au  0.1664  0.1664  0.1664
Au  0.3443  0.3443  0.3443
Au  0.4491  0.4491  0.4491
Au  0.5509  0.5509  0.5509
Au  0.6557  0.6557  0.6557
Au  0.8336  0.8336  0.8336

# 7
Density functional theory data (meta-GGA SCAN) for a crystal of CuAu2 relaxed with PBEsol.

The total moment comes out at 0.00 μB/f.u. For the formation energy from the elements, the calculation gives -14 kJ/mol of formula units. The value obtained for the energy relative to the lowest polymorph listed for this composition is 0.021 eV per atom. Its crystal system is tetragonal.

abc: 12.3630 12.3630 12.3630
angles: 167.13 167.13 18.24
Fractional coordinates of all 6 atoms:
Cu  0.3750  0.6250  0.7500
Cu  0.6250  0.3750  0.2500
Au  0.0506  0.8006  0.2500
Au  0.1994  0.9494  0.2500
Au  0.8006  0.0506  0.7500
Au  0.9494  0.1994  0.7500

# 8
Density functional theory data (meta-GGA SCAN) for a crystal of CuAu5 relaxed with PBEsol.

The total moment comes out at 0.00 μB/f.u. For the formation energy from the elements, the calculation gives -16 kJ/mol of formula units. The value obtained for the energy relative to the lowest polymorph listed for this composition is 0.007 eV per atom. Its crystal system is orthorhombic.

abc: 6.3423 6.3423 4.0623
angles: 90.00 90.00 143.65
Fractional coordinates of all 6 atoms:
Cu  0.0000  0.0000  0.0000
Au  0.1636  0.8364  0.5000
Au  0.3392  0.6608  0.0000
Au  0.5000  0.5000  0.5000
Au  0.6608  0.3392  0.0000
Au  0.8364  0.1636  0.5000

# 9
Density functional theory data (meta-GGA SCAN) for a crystal of Cu4Au relaxed with PBEsol.

The total moment comes out at 0.00 μB/f.u. For the formation energy from the elements, the calculation gives -7 kJ/mol of formula units. The value obtained for the energy relative to the lowest polymorph listed for this composition is 0.032 eV per atom. Its crystal system is monoclinic.

abc: 4.5024 4.5024 6.3843
angles: 119.20 119.20 34.30
Fractional coordinates of all 5 atoms:
Cu  0.1044  0.1044  0.4129
Cu  0.3092  0.3092  0.2128
Cu  0.6908  0.6908  0.7872
Cu  0.8956  0.8956  0.5871
Au  0.5000  0.5000  0.0000

# 10
Density functional theory data (meta-GGA SCAN) for a crystal of CuAu4 relaxed with PBEsol.

The total moment comes out at 0.00 μB/f.u. For the formation energy from the elements, the calculation gives -20 kJ/mol of formula units. The value obtained for the energy relative to the lowest polymorph listed for this composition is 0.000 eV per atom. Its crystal system is tetragonal.

abc: 9.9952 9.9952 9.9952
angles: 163.63 163.63 23.23
Fractional coordinates of all 5 atoms:
Cu  0.0000  0.0000  0.0000
Au  0.1967  0.1967  0.0000
Au  0.4108  0.4108  0.0000
Au  0.5892  0.5892  0.0000
Au  0.8033  0.8033  0.0000

# 11
Density functional theory data (meta-GGA SCAN) for a crystal of Cu5Au4 relaxed with PBEsol.

The total moment comes out at 0.00 μB/f.u. For the formation energy from the elements, the calculation gives -3 kJ/mol of formula units. The value obtained for the energy relative to the lowest polymorph listed for this composition is 0.070 eV per atom. Its crystal system is hexagonal.

abc: 7.5160 7.5160 5.2190
angles: 90.00 90.00 120.00
Fractional coordinates of all 18 atoms:
Cu  0.0000  0.3171  0.2500
Cu  0.0000  0.6829  0.7500
Cu  0.3171  0.0000  0.2500
Cu  0.3171  0.3171  0.7500
Cu  0.3333  0.6667  0.0000
Cu  0.3333  0.6667  0.5000
Cu  0.6667  0.3333  0.0000
Cu  0.6667  0.3333  0.5000
Cu  0.6829  0.0000  0.7500
Cu  0.6829  0.6829  0.2500
Au  0.0000  0.0000  0.0000
Au  0.0000  0.0000  0.5000
Au  0.0000  0.3565  0.7500
Au  0.0000  0.6435  0.2500
Au  0.3565  0.0000  0.7500
Au  0.3565  0.3565  0.2500
Au  0.6435  0.0000  0.2500
Au  0.6435  0.6435  0.7500

# 12
Density functional theory data (meta-GGA SCAN) for a crystal of CuAu4 relaxed with PBEsol.

The total moment comes out at 0.00 μB/f.u. For the formation energy from the elements, the calculation gives -12 kJ/mol of formula units. The value obtained for the energy relative to the lowest polymorph listed for this composition is 0.017 eV per atom. Its crystal system is tetragonal.

abc: 4.9205 4.9205 4.9205
angles: 99.15 99.15 133.01
Fractional coordinates of all 5 atoms:
Cu  0.0000  0.0000  0.0000
Au  0.2055  0.6002  0.8057
Au  0.3998  0.2055  0.6053
Au  0.6002  0.7945  0.3947
Au  0.7945  0.3998  0.1943